[1]
A plane-wave DFT calculation with PBE-GGA was carried out for a relaxed BaLi2MgH crystal.

Values from the calculation:
Energy ... -10.57 eV for the cell shown
Crystal system ... tetragonal
Space group ... P4/mmm, No. 123
M_tot ... 0.000 μB/f.u.

Lattice parameters (Å, degrees): 5.020 5.020 5.236 90.00 90.00 90.00
Positions (direct):
Li (0.500, 0.000, 0.000)
Li (0.000, 0.500, 0.000)
Ba (0.000, 0.000, 0.500)
H (0.000, 0.000, 0.000)
Mg (0.500, 0.500, 0.500)


[2]
A plane-wave DFT calculation with PBE-GGA was carried out for a relaxed Ca2LaLu crystal.

Values from the calculation:
Excess energy over the best structure of this formula in the dataset ... 9 meV per atom
Crystal system ... tetragonal
E_form ... 3.968 kcal/mol of atoms
Space group ... P4/mmm, No. 123
M_tot ... 0.530 μB/f.u.

Lattice parameters (Å, degrees): 5.670 5.102 5.102 90.00 90.00 90.00
Positions (direct):
Ca (0.000, 0.000, 0.500)
Ca (0.000, 0.500, 0.000)
La (0.500, 0.000, 0.000)
Lu (0.500, 0.500, 0.500)


[3]
A plane-wave DFT calculation with PBE-GGA was carried out for a relaxed Hf2AlI2 crystal.

Values from the calculation:
Excess energy over the best structure of this formula in the dataset ... 0 meV per atom
ΔE_f (raw) ... 324.9 meV/atom
Crystal system ... tetragonal
Space group ... I4/mmm, No. 139
M_tot ... 0.322 μB/f.u.

Lattice parameters (Å, degrees): 4.126 4.126 9.118 76.92 76.92 90.00
Positions (direct):
Hf (0.750, 0.250, 0.500)
Hf (0.250, 0.750, 0.500)
I (0.378, 0.378, 0.244)
I (0.622, 0.622, 0.756)
Al (0.000, 0.000, 0.000)


[4]
A plane-wave DFT calculation with PBE-GGA was carried out for a relaxed La5Ce2Ge4 crystal.

Values from the calculation:
Crystal system ... monoclinic
E_form ... -5.508 kcal/mol of atoms
Space group ... C2/m, No. 12
M_tot ... 2.099 μB/f.u.

Lattice parameters (Å, degrees): 3.857 7.386 12.429 110.77 98.93 90.00
Positions (direct):
La (0.852, 0.745, 0.704)
La (0.500, 0.000, 0.000)
La (0.112, 0.809, 0.223)
La (0.888, 0.191, 0.777)
La (0.148, 0.255, 0.296)
Ce (0.273, 0.290, 0.545)
Ce (0.727, 0.710, 0.455)
Ge (0.402, 0.528, 0.805)
Ge (0.976, 0.637, 0.952)
Ge (0.598, 0.472, 0.195)
Ge (0.024, 0.363, 0.048)


[5]
A plane-wave DFT calculation with PBE-GGA was carried out for a relaxed UFeB crystal.

Values from the calculation:
Excess energy over the best structure of this formula in the dataset ... 212 meV per atom
Crystal system ... monoclinic
E_form ... -0.529 kcal/mol of atoms
Space group ... P2_1/m, No. 11
M_tot ... 0.000 μB/f.u.

Lattice parameters (Å, degrees): 5.113 6.446 5.068 101.39 90.00 90.00
Positions (direct):
Fe (0.750, 0.733, 0.903)
Fe (0.750, 0.158, 0.858)
Fe (0.250, 0.267, 0.097)
Fe (0.250, 0.842, 0.142)
B (0.250, 0.571, 0.285)
B (0.250, 0.118, 0.395)
B (0.750, 0.882, 0.605)
B (0.750, 0.429, 0.715)
U (0.750, 0.118, 0.291)
U (0.250, 0.446, 0.733)
U (0.250, 0.882, 0.709)
U (0.750, 0.554, 0.267)


[6]
A plane-wave DFT calculation with PBE-GGA was carried out for a relaxed CaLaY crystal.

Values from the calculation:
Excess energy over the best structure of this formula in the dataset ... 72 meV per atom
Crystal system ... orthorhombic
E_form ... 2.547 kcal/mol of atoms
Space group ... Imm2, No. 44
M_tot ... 0.000 μB/f.u.

Lattice parameters (Å, degrees): 6.481 6.481 6.481 147.28 131.28 59.93
Positions (direct):
Y (0.672, 0.672, 0.000)
Ca (0.002, 0.002, 0.000)
La (0.326, 0.326, 0.000)


[7]
A plane-wave DFT calculation with PBE-GGA was carried out for a relaxed NaP2PbI crystal.

Values from the calculation:
ΔE_f (raw) ... 920.2 meV/atom
Crystal system ... tetragonal
Space group ... P4/mmm, No. 123
M_tot ... 0.000 μB/f.u.

Lattice parameters (Å, degrees): 5.328 5.913 5.328 90.00 90.00 90.00
Positions (direct):
P (0.000, 0.000, 0.500)
P (0.500, 0.000, 0.000)
I (0.000, 0.000, 0.000)
Pb (0.000, 0.500, 0.000)
Na (0.500, 0.500, 0.500)


[8]
A plane-wave DFT calculation with PBE-GGA was carried out for a relaxed Ta3MoS6 crystal.

Values from the calculation:
ΔE_f (raw) ... -604.4 meV/atom
Crystal system ... trigonal
Space group ... R-3, No. 148
M_tot ... 0.000 μB/f.u.

Lattice parameters (Å, degrees): 7.214 7.214 7.214 86.35 86.35 86.35
Positions (direct):
S (0.459, 0.577, 0.823)
S (0.903, 0.673, 0.056)
S (0.541, 0.423, 0.177)
S (0.327, 0.944, 0.097)
S (0.177, 0.541, 0.423)
S (0.823, 0.459, 0.577)
S (0.673, 0.056, 0.903)
S (0.577, 0.823, 0.459)
S (0.056, 0.903, 0.673)
S (0.423, 0.177, 0.541)
S (0.097, 0.327, 0.944)
S (0.944, 0.097, 0.327)
Ta (0.374, 0.902, 0.764)
Ta (0.902, 0.764, 0.374)
Ta (0.626, 0.098, 0.236)
Ta (0.098, 0.236, 0.626)
Ta (0.236, 0.626, 0.098)
Ta (0.764, 0.374, 0.902)
Mo (0.000, 0.000, 0.000)
Mo (0.500, 0.500, 0.500)


[9]
A plane-wave DFT calculation with PBE-GGA was carried out for a relaxed TlWI2N crystal.

Values from the calculation:
Excess energy over the best structure of this formula in the dataset ... 0 meV per atom
ΔE_f (raw) ... 159.6 meV/atom
Crystal system ... tetragonal
Space group ... P4/mmm, No. 123
M_tot ... 1.020 μB/f.u.

Lattice parameters (Å, degrees): 5.850 5.850 3.898 90.00 90.00 90.00
Positions (direct):
N (0.000, 0.000, 0.500)
I (0.500, 0.000, 0.000)
I (0.000, 0.500, 0.000)
Tl (0.500, 0.500, 0.500)
W (0.000, 0.000, 0.000)


[10]
A plane-wave DFT calculation with PBE-GGA was carried out for a relaxed Sr3HfPd crystal.

Values from the calculation:
Excess energy over the best structure of this formula in the dataset ... 720 meV per atom
Crystal system ... cubic
E_form ... 26.281 kcal/mol of atoms
Space group ... Pm-3m, No. 221
M_tot ... 3.917 μB/f.u.

Lattice parameters (Å, degrees): 6.145 6.145 6.145 90.00 90.00 90.00
Positions (direct):
Pd (0.500, 0.500, 0.500)
Sr (0.000, 0.000, 0.500)
Sr (0.000, 0.500, 0.000)
Sr (0.500, 0.000, 0.000)
Hf (0.000, 0.000, 0.000)


[11]
A plane-wave DFT calculation with PBE-GGA was carried out for a relaxed InAgPdO4 crystal.

Values from the calculation:
ΔE_f (raw) ... -720.7 meV/atom
Crystal system ... orthorhombic
Space group ... Imma, No. 74
M_tot ... 0.000 μB/f.u.

Lattice parameters (Å, degrees): 6.343 6.499 6.623 120.63 90.00 119.21
Positions (direct):
Ag (0.867, 0.735, 0.117)
Ag (0.133, 0.265, 0.883)
O (0.742, 0.485, 0.694)
O (0.697, 0.947, 0.723)
O (0.742, 0.485, 0.291)
O (0.258, 0.515, 0.306)
O (0.249, 0.947, 0.723)
O (0.751, 0.053, 0.277)
O (0.258, 0.515, 0.709)
O (0.303, 0.053, 0.277)
In (0.500, 0.000, 0.000)
In (0.500, 0.000, 0.500)
Pd (0.000, 0.500, 0.500)
Pd (0.500, 0.500, 0.500)


[12]
A plane-wave DFT calculation with PBE-GGA was carried out for a relaxed Tb3Er7Sc crystal.

Values from the calculation:
Excess energy over the best structure of this formula in the dataset ... 34 meV per atom
Crystal system ... trigonal
E_form ... 4.445 kcal/mol of atoms
Space group ... P3m1, No. 156
M_tot ... 0.013 μB/f.u.

Lattice parameters (Å, degrees): 8.478 6.939 6.939 120.00 90.00 90.00
Positions (direct):
Er (0.448, 0.832, 0.664)
Er (0.121, 0.168, 0.832)
Er (0.448, 0.336, 0.168)
Er (0.120, 0.667, 0.333)
Er (0.121, 0.168, 0.337)
Er (0.121, 0.663, 0.832)
Er (0.448, 0.832, 0.168)
Sc (0.445, 0.333, 0.667)
Tb (0.781, 0.499, 0.501)
Tb (0.781, 0.499, 0.998)
Tb (0.781, 0.002, 0.501)